1.
The following is a DFT calculation (meta-GGA SCAN) of a crystal of Ba2AlZn relaxed with PBEsol.

Output
Total magnetization ... 0.00 μB per formula unit
ΔH_f (0 K) ... -16 kJ per mole of atoms
Final energy ... -25.255 eV/atom

Unit cell a=3.979 b=5.692 c=10.982 alpha=90.00 beta=90.00 gamma=90.00
Space group Imm2 (No. 44)
Unique sites:
Ba1 0.000 0.000 0.000 [2 per cell]
Ba2 0.000 0.500 0.185 [2 per cell]
Al1 0.000 0.000 0.410 [2 per cell]
Zn1 0.000 0.500 0.762 [2 per cell]



2.
The following is a DFT calculation (meta-GGA SCAN) of a crystal of CrCd2Co relaxed with PBEsol.

Output
ΔE to the lowest computed polymorph ... 0 meV/atom
Total magnetization ... 3.23 μB per formula unit
ΔH_f (0 K) ... 26 kJ per mole of atoms
Final energy ... -23.862 eV/atom

Unit cell a=2.793 b=2.793 c=7.684 alpha=90.00 beta=90.00 gamma=90.00
Space group P4mm (No. 99)
Unique sites:
Cr1 0.000 0.000 0.000 [1 per cell]
Cd1 0.000 0.000 0.587 [1 per cell]
Cd2 0.500 0.500 0.268 [1 per cell]
Co1 0.500 0.500 0.839 [1 per cell]



3.
The following is a DFT calculation (meta-GGA SCAN) of a crystal of CoMoRh2 relaxed with PBEsol.

Output
ΔE to the lowest computed polymorph ... 167 meV/atom
Total magnetization ... 2.19 μB per formula unit
ΔH_f (0 K) ... 3 kJ per mole of atoms
Final energy ... -29.904 eV/atom

Unit cell a=2.665 b=2.665 c=7.377 alpha=90.00 beta=90.00 gamma=90.00
Space group P4mm (No. 99)
Unique sites:
Co1 0.000 0.000 0.000 [1 per cell]
Mo1 0.500 0.500 0.241 [1 per cell]
Rh1 0.000 0.000 0.505 [1 per cell]
Rh2 0.500 0.500 0.768 [1 per cell]



4.
The following is a DFT calculation (meta-GGA SCAN) of a crystal of MoBr relaxed with PBEsol.

Output
E_form (uncorrected) ... 0.992 eV per atom
ΔE to the lowest computed polymorph ... 934 meV/atom
Total magnetization ... 0.00 μB per formula unit
Final energy ... -26.180 eV/atom

Unit cell a=4.3297 b=4.3297 c=4.8128 alpha=90.00 beta=90.00 gamma=120.00
Space group P6_3/mmc (No. 194)
Unique sites:
Mo1 0.0000 0.0000 0.0000 [2 per cell]
Br1 0.3333 0.6667 0.2500 [2 per cell]



5.
The following is a DFT calculation (meta-GGA SCAN) of a crystal of TlIn2Sb relaxed with PBEsol.

Output
E_form (uncorrected) ... 0.060 eV per atom
ΔE to the lowest computed polymorph ... 19 meV/atom
Total magnetization ... 0.00 μB per formula unit
Final energy ... -44.038 eV/atom

Unit cell a=3.521 b=4.180 c=7.323 alpha=90.00 beta=90.00 gamma=90.00
Space group Pmm2 (No. 25)
Unique sites:
Tl1 0.000 0.000 0.000 [1 per cell]
In1 0.000 0.000 0.507 [1 per cell]
In2 0.500 0.500 0.268 [1 per cell]
Sb1 0.500 0.500 0.726 [1 per cell]



6.
The following is a DFT calculation (meta-GGA SCAN) of a crystal of DyGa6 relaxed with PBEsol.

Output
Total magnetization ... 0.00 μB per formula unit
ΔH_f (0 K) ... -35 kJ per mole of atoms
Final energy ... -21.202 eV/atom

Unit cell a=5.847 b=5.847 c=7.488 alpha=90.00 beta=90.00 gamma=90.00
Space group P4/nbm (No. 125, origin choice 2)
Unique sites:
Dy1 0.250 0.750 0.000 [2 per cell]
Ga1 0.071 0.571 0.352 [8 per cell]
Ga2 0.250 0.250 0.161 [4 per cell]



7.
The following is a DFT calculation (meta-GGA SCAN) of a crystal of LaAgF2 relaxed with PBEsol.

Output
E_form (uncorrected) ... -2.463 eV per atom
Total magnetization ... 0.00 μB per formula unit
Final energy ... -22.851 eV/atom

Unit cell a=5.121 b=5.121 c=14.830 alpha=90.00 beta=90.00 gamma=90.00
Space group I4_1/amd (No. 141, origin choice 2)
Unique sites:
La1 0.000 0.250 0.375 [4 per cell]
Ag1 0.000 0.250 0.875 [4 per cell]
F1 0.000 0.000 0.500 [8 per cell]



8.
The following is a DFT calculation (meta-GGA SCAN) of a crystal of PbAu2Br relaxed with PBEsol.

Output
E_form (uncorrected) ... 0.199 eV per atom
ΔE to the lowest computed polymorph ... 213 meV/atom
Total magnetization ... 0.00 μB per formula unit
Final energy ... -58.190 eV/atom

Unit cell a=3.482 b=3.482 c=7.247 alpha=90.00 beta=90.00 gamma=90.00
Space group P4/mmm (No. 123)
Unique sites:
Pb1 0.000 0.000 0.000 [1 per cell]
Au1 0.500 0.500 0.247 [2 per cell]
Br1 0.000 0.000 0.500 [1 per cell]



9.
The following is a DFT calculation (meta-GGA SCAN) of a crystal of Be2Re2Si relaxed with PBEsol.

Output
E_form (uncorrected) ... -0.356 eV per atom
Total magnetization ... 0.00 μB per formula unit
Final energy ... -32.540 eV/atom

Unit cell a=5.810 b=5.810 c=3.180 alpha=90.00 beta=90.00 gamma=90.00
Space group P4/mbm (No. 127)
Unique sites:
Be1 0.120 0.380 0.000 [4 per cell]
Re1 0.178 0.678 0.500 [4 per cell]
Si1 0.000 0.000 0.000 [2 per cell]



10.
The following is a DFT calculation (meta-GGA SCAN) of a crystal of AlAgAu3 relaxed with PBEsol.

Output
Total magnetization ... 0.00 μB per formula unit
ΔH_f (0 K) ... 24 kJ per mole of atoms
Final energy ... -49.069 eV/atom

Unit cell a=4.712 b=4.712 c=4.712 alpha=90.00 beta=90.00 gamma=90.00
Space group Pm-3m (No. 221)
Unique sites:
Al1 0.000 0.000 0.000 [1 per cell]
Ag1 0.500 0.500 0.500 [1 per cell]
Au1 0.000 0.000 0.500 [3 per cell]



11.
The following is a DFT calculation (meta-GGA SCAN) of a crystal of ScCl2 relaxed with PBEsol.

Output
E_form (uncorrected) ... -2.139 eV per atom
Total magnetization ... 1.00 μB per formula unit
Final energy ... -12.203 eV/atom

Unit cell a=3.4564 b=3.4564 c=13.0158 alpha=90.00 beta=90.00 gamma=120.00
Space group P6_3/mmc (No. 194)
Unique sites:
Sc1 0.0000 0.0000 0.2500 [2 per cell]
Cl1 0.3333 0.6667 0.1263 [4 per cell]



12.
The following is a DFT calculation (meta-GGA SCAN) of a crystal of Re2POs relaxed with PBEsol.

Output
Total magnetization ... 0.00 μB per formula unit
ΔH_f (0 K) ... 2 kJ per mole of atoms
Final energy ... -56.099 eV/atom

Unit cell a=2.880 b=4.331 c=8.729 alpha=90.00 beta=90.00 gamma=90.00
Space group Immm (No. 71)
Unique sites:
Re1 0.000 0.000 0.216 [4 per cell]
P1 0.000 0.500 0.500 [2 per cell]
Os1 0.000 0.500 0.000 [2 per cell]